(1)
DFT (GGA-PBE) results for a relaxed RbPtI crystal.

abc: 7.257 7.257 7.257
angles: 90.00 90.00 90.00
Space group F-43m (No. 216)
Symmetry-distinct sites (fractional):
Rb 0.000 0.000 0.000 [4 per cell]
Pt 0.250 0.250 0.750 [4 per cell]
I 0.000 0.000 0.500 [4 per cell]

Results
DOS(E_F): 0.9 states/eV/cell
excess energy over the best structure of this formula in the dataset: 0.630 eV/atom

(2)
DFT (GGA-PBE) results for a relaxed Rb4PtI6 crystal.

abc: 9.939 9.939 10.098
angles: 90.00 90.00 90.00
Space group P4/mnc (No. 128)
Symmetry-distinct sites (fractional):
Rb 0.165 0.335 0.250 [8 per cell]
Pt 0.000 0.000 0.000 [2 per cell]
I 0.000 0.000 0.266 [4 per cell]
I 0.099 0.707 0.000 [8 per cell]

Results
E: -60.5 eV/cell
DOS(E_F): 12.3 states/eV/cell

(3)
DFT (GGA-PBE) results for a relaxed RbPtI crystal.

abc: 3.996 5.969 18.809
angles: 90.00 90.00 90.00
Space group Imm2 (No. 44)
Symmetry-distinct sites (fractional):
Rb 0.000 0.000 0.000 [2 per cell]
Rb 0.000 0.000 0.230 [2 per cell]
Pt 0.000 0.000 0.734 [2 per cell]
Pt 0.000 0.500 0.141 [2 per cell]
I 0.000 0.000 0.544 [2 per cell]
I 0.000 0.500 0.335 [2 per cell]

Results
DOS(E_F): 0.0 states/eV/cell
excess energy over the best structure of this formula in the dataset: 0.023 eV/atom

(4)
DFT (GGA-PBE) results for a relaxed RbRe2PtI crystal.

abc: 4.925 4.925 6.111
angles: 90.00 90.00 90.00
Space group P4/mmm (No. 123)
Symmetry-distinct sites (fractional):
Rb 0.000 0.000 0.000 [1 per cell]
Re 0.000 0.500 0.500 [2 per cell]
Pt 0.500 0.500 0.000 [1 per cell]
I 0.000 0.000 0.500 [1 per cell]

Results
E: -20.7 eV/cell
DOS(E_F): 3.2 states/eV/cell

(5)
DFT (GGA-PBE) results for a relaxed Rb2PtRhI6 crystal.

abc: 7.941 7.941 11.176
angles: 90.00 90.00 90.00
Space group I4/mmm (No. 139)
Symmetry-distinct sites (fractional):
Rb 0.000 0.500 0.250 [4 per cell]
Pt 0.000 0.000 0.000 [2 per cell]
Rh 0.000 0.000 0.500 [2 per cell]
I 0.000 0.000 0.251 [4 per cell]
I 0.248 0.248 0.500 [8 per cell]

Results
E: -60.6 eV/cell
DOS(E_F): 8.2 states/eV/cell

(6)
DFT (GGA-PBE) results for a relaxed Rb2RuPtI6 crystal.

abc: 11.277 11.277 11.277
angles: 90.00 90.00 90.00
Space group Fm-3m (No. 225)
Symmetry-distinct sites (fractional):
Rb 0.250 0.250 0.250 [8 per cell]
Ru 0.000 0.000 0.000 [4 per cell]
Pt 0.000 0.000 0.500 [4 per cell]
I 0.000 0.000 0.248 [24 per cell]

Results
E: -124.2 eV/cell
DOS(E_F): 29.9 states/eV/cell

(7)
DFT (GGA-PBE) results for a relaxed Rb2PtSI6 crystal.

abc: 8.144 8.144 11.248
angles: 90.00 90.00 90.00
Space group I4/mmm (No. 139)
Symmetry-distinct sites (fractional):
Rb 0.000 0.500 0.250 [4 per cell]
Pt 0.000 0.000 0.000 [2 per cell]
S 0.000 0.000 0.500 [2 per cell]
I 0.000 0.000 0.248 [4 per cell]
I 0.239 0.239 0.000 [8 per cell]

Results
E: -54.0 eV/cell
DOS(E_F): 7.4 states/eV/cell

(8)
DFT (GGA-PBE) results for a relaxed RbSbPtI2 crystal.

abc: 5.986 5.986 5.085
angles: 90.00 90.00 90.00
Space group P4/mmm (No. 123)
Symmetry-distinct sites (fractional):
Rb 0.000 0.000 0.000 [1 per cell]
Sb 0.500 0.500 0.000 [1 per cell]
Pt 0.500 0.500 0.500 [1 per cell]
I 0.000 0.500 0.500 [2 per cell]

Results
DOS(E_F): 2.9 states/eV/cell
excess energy over the best structure of this formula in the dataset: 0.000 eV/atom